# 1
A PBEsol-optimized structure of Ta2InSb, computed with SCAN.

Results
The distance to the lowest polymorph of the same formula comes out at 226 meV/atom. The volume is 76.0 Å³/f.u. As for the space-group type: Fm-3m.

```
data_Ta2InSb
_chemical_formula_sum 'Ta2 In1 Sb1'
_symmetry_space_group_name_H-M 'P 1'
_symmetry_Int_Tables_number 1
_symmetry_space_group_name_Hall 'P 1'
_cell_length_a 4.7537
_cell_length_b 4.7537
_cell_length_c 4.7537
_cell_angle_alpha 60.00
_cell_angle_beta 60.00
_cell_angle_gamma 60.00
loop_
_atom_site_label
_atom_site_fract_x
_atom_site_fract_y
_atom_site_fract_z
Ta1 0.2500 0.2500 0.2500
Ta2 0.7500 0.7500 0.7500
In1 0.0000 0.0000 0.0000
Sb1 0.5000 0.5000 0.5000
```

=====

# 2
A PBEsol-optimized structure of Ta2InSb, computed with SCAN.

Results
The distance to the lowest polymorph of the same formula comes out at 180 meV/atom. The volume is 76.6 Å³/f.u. As for the space-group type: Cmmm.

```
data_Ta2InSb
_chemical_formula_sum 'Ta2 In1 Sb1'
_symmetry_space_group_name_H-M 'P 1'
_symmetry_Int_Tables_number 1
_symmetry_space_group_name_Hall 'P 1'
_cell_length_a 4.6929
_cell_length_b 4.6929
_cell_length_c 3.5187
_cell_angle_alpha 90.00
_cell_angle_beta 90.00
_cell_angle_gamma 98.49
loop_
_atom_site_label
_atom_site_fract_x
_atom_site_fract_y
_atom_site_fract_z
Ta1 0.0000 0.5000 0.0000
Ta2 0.5000 0.0000 0.0000
In1 0.0000 0.0000 0.5000
Sb1 0.5000 0.5000 0.5000
```

=====

# 3
A PBEsol-optimized structure of TaInSbTe2, computed with SCAN.

Results
The volume is 155.5 Å³/f.u. For the total energy, the calculation gives -210.56 eV/cell. As for the space-group type: P4/mmm.

```
data_TaInSbTe2
_chemical_formula_sum 'Ta1 In1 Sb1 Te2'
_symmetry_space_group_name_H-M 'P 1'
_symmetry_Int_Tables_number 1
_symmetry_space_group_name_Hall 'P 1'
_cell_length_a 5.3829
_cell_length_b 5.3829
_cell_length_c 5.3664
_cell_angle_alpha 90.00
_cell_angle_beta 90.00
_cell_angle_gamma 90.00
loop_
_atom_site_label
_atom_site_fract_x
_atom_site_fract_y
_atom_site_fract_z
Ta1 0.0000 0.0000 0.0000
In1 0.5000 0.5000 0.5000
Sb1 0.0000 0.0000 0.5000
Te1 0.0000 0.5000 0.0000
Te2 0.5000 0.0000 0.0000
```

=====

# 4
A PBEsol-optimized structure of InTcSb2, computed with SCAN.

Results
The volume is 90.5 Å³/f.u. For the total energy, the calculation gives -142.17 eV/cell. As for the space-group type: Imm2.

```
data_InTcSb2
_chemical_formula_sum 'In1 Tc1 Sb2'
_symmetry_space_group_name_H-M 'P 1'
_symmetry_Int_Tables_number 1
_symmetry_space_group_name_Hall 'P 1'
_cell_length_a 7.0775
_cell_length_b 7.0775
_cell_length_c 7.0775
_cell_angle_alpha 153.98
_cell_angle_beta 144.32
_cell_angle_gamma 44.69
loop_
_atom_site_label
_atom_site_fract_x
_atom_site_fract_y
_atom_site_fract_z
In1 0.0000 0.0000 0.0000
Tc1 0.7973 0.2973 0.5000
Sb1 0.3255 0.8255 0.5000
Sb2 0.6313 0.6313 0.0000
```